Here is a relaxed Ac2DyTe2As2 crystal from the Alexandria database. Energies are from PBE.

Calculated values
As for the size of the total moment: 0.0 μB/f.u. For the density of states at the Fermi level, the calculation gives 0.685 states/eV/atom. The calculation puts the raw formation energy at -1.2335 eV per atom. As for the space group: I4/mmm, No. 139.

Lattice parameters (Å, degrees): 9.275 9.275 9.275 146.87 146.87 47.55
Fractional positions:
Ac (0.123, 0.123, 0.000)
Ac (0.877, 0.877, 0.000)
Dy (0.500, 0.500, 0.000)
Te (0.318, 0.318, 0.000)
Te (0.682, 0.682, 0.000)
As (0.000, 0.500, 0.500)
As (0.500, 0.000, 0.500)

---

Here is a relaxed LaDyMg2Au4 crystal from the Alexandria database. Energies are from PBE.

Calculated values
As for the size of the total moment: 0.0 μB/f.u. Its formation energy is -0.760 eV per atom. For the density of states at the Fermi level, the calculation gives 0.642 states/eV/atom. As for the space group: R-3m, No. 166.

Lattice parameters (Å, degrees): 9.267 9.267 9.267 30.17 30.17 30.17
Fractional positions:
La (0.000, 0.000, 0.000)
Dy (0.500, 0.500, 0.500)
Mg (0.245, 0.245, 0.245)
Mg (0.755, 0.755, 0.755)
Au (0.121, 0.121, 0.121)
Au (0.390, 0.390, 0.390)
Au (0.610, 0.610, 0.610)
Au (0.879, 0.879, 0.879)

---

Here is a relaxed ZrTaTe2 crystal from the Alexandria database. Energies are from PBE.

Calculated values
As for the size of the total moment: 0.0 μB/f.u. For the density of states at the Fermi level, the calculation gives 0.687 states/eV/atom. The calculation puts the raw formation energy at -0.1244 eV per atom. As for the space group: Imm2, No. 44. As for the offset from the most stable computed form: 287 meV per atom.

Lattice parameters (Å, degrees): 6.344 6.344 6.344 148.22 135.33 55.86
Fractional positions:
Zr (0.000, 0.000, 0.000)
Ta (0.306, 0.806, 0.500)
Te (0.506, 0.506, 0.000)
Te (0.786, 0.286, 0.500)

---

Here is a relaxed Cs2ErTe2S6 crystal from the Alexandria database. Energies are from PBE.

Calculated values
As for the size of the total moment: 0.0 μB/f.u. For the density of states at the Fermi level, the calculation gives 0.240 states/eV/atom. The calculation puts the raw formation energy at -0.7392 eV per atom. As for the space group: C2/m, No. 12.

Lattice parameters (Å, degrees): 6.814 6.814 9.167 105.68 105.68 67.33
Fractional positions:
Cs (0.197, 0.197, 0.119)
Cs (0.803, 0.803, 0.881)
Er (0.000, 0.000, 0.500)
Te (0.412, 0.412, 0.740)
Te (0.588, 0.588, 0.260)
S (0.188, 0.747, 0.253)
S (0.244, 0.244, 0.509)
S (0.253, 0.812, 0.747)
S (0.747, 0.188, 0.253)
S (0.756, 0.756, 0.491)
S (0.812, 0.253, 0.747)

---

Here is a relaxed Cr2FeRe crystal from the Alexandria database. Energies are from PBE.

Calculated values
As for the size of the total moment: 0.0 μB/f.u. Its formation energy is 0.764 eV per atom. For the density of states at the Fermi level, the calculation gives 1.407 states/eV/atom. As for the space group: I-42d, No. 122. As for the offset from the most stable computed form: 687 meV per atom.

Lattice parameters (Å, degrees): 5.234 5.234 5.234 102.51 102.51 124.53
Fractional positions:
Cr (0.102, 0.625, 0.977)
Cr (0.375, 0.352, 0.477)
Cr (0.648, 0.125, 0.023)
Cr (0.875, 0.898, 0.523)
Fe (0.000, 0.000, 0.000)
Fe (0.750, 0.250, 0.500)
Re (0.250, 0.750, 0.500)
Re (0.500, 0.500, 0.000)

---

Here is a relaxed TmTcGe3 crystal from the Alexandria database. Energies are from PBE.

Calculated values
As for the size of the total moment: 0.0 μB/f.u. Its formation energy is -0.360 eV per atom. For the density of states at the Fermi level, the calculation gives 0.314 states/eV/atom. As for the space group: Cmcm, No. 63.

Lattice parameters (Å, degrees): 6.317 6.317 5.920 90.00 90.00 127.64
Fractional positions:
Tm (0.099, 0.901, 0.750)
Tm (0.901, 0.099, 0.250)
Tc (0.500, 0.500, 0.000)
Tc (0.500, 0.500, 0.500)
Ge (0.107, 0.368, 0.750)
Ge (0.320, 0.680, 0.250)
Ge (0.368, 0.107, 0.250)
Ge (0.632, 0.893, 0.750)
Ge (0.680, 0.320, 0.750)
Ge (0.893, 0.632, 0.250)

---

Here is a relaxed Sc2TcIr crystal from the Alexandria database. Energies are from PBE.

Calculated values
As for the size of the total moment: 0.0 μB/f.u. Its formation energy is -0.495 eV per atom. For the density of states at the Fermi level, the calculation gives 0.563 states/eV/atom. As for the space group: Imm2, No. 44.

Lattice parameters (Å, degrees): 5.537 5.537 5.537 146.27 132.63 59.40
Fractional positions:
Sc (0.000, 0.000, 0.000)
Sc (0.728, 0.228, 0.500)
Tc (0.250, 0.750, 0.500)
Ir (0.478, 0.478, 0.000)

---

Here is a relaxed NaHClF2 crystal from the Alexandria database. Energies are from PBE.

Calculated values
As for the size of the total moment: 0.7 μB/f.u. The calculated total energy is -14.748 eV for the cell shown. For the density of states at the Fermi level, the calculation gives 0.364 states/eV/atom. As for the space group: P4/mmm, No. 123.

Lattice parameters (Å, degrees): 4.829 4.829 3.075 90.00 90.00 90.00
Fractional positions:
Na (0.000, 0.000, 0.000)
H (0.500, 0.500, 0.000)
Cl (0.500, 0.500, 0.500)
F (0.000, 0.500, 0.500)
F (0.500, 0.000, 0.500)

---

Here is a relaxed Zn3In12Se5 crystal from the Alexandria database. Energies are from PBE.

Calculated values
As for the size of the total moment: 0.0 μB/f.u. For the density of states at the Fermi level, the calculation gives 0.637 states/eV/atom. The calculation puts the raw formation energy at -0.0507 eV per atom. As for the space group: Ia-3d, No. 230.

Lattice parameters (Å, degrees): 14.551 14.551 14.551 109.47 109.47 109.47
Fractional positions:
Zn (0.125, 0.250, 0.375)
Zn (0.125, 0.375, 0.750)
Zn (0.250, 0.375, 0.125)
Zn (0.250, 0.875, 0.625)
Zn (0.375, 0.125, 0.250)
Zn (0.375, 0.750, 0.125)
Zn (0.625, 0.250, 0.875)
Zn (0.625, 0.875, 0.750)
Zn (0.750, 0.125, 0.375)
Zn (0.750, 0.625, 0.875)
Zn (0.875, 0.625, 0.250)
Zn (0.875, 0.750, 0.625)
In (0.066, 0.236, 0.134)
In (0.066, 0.330, 0.932)
In (0.068, 0.634, 0.399)
In (0.068, 0.934, 0.670)
In (0.101, 0.736, 0.670)
In (0.101, 0.866, 0.432)
In (0.134, 0.066, 0.236)
In (0.134, 0.568, 0.899)
In (0.170, 0.236, 0.601)
In (0.170, 0.434, 0.568)
In (0.236, 0.134, 0.066)
In (0.236, 0.601, 0.170)
In (0.264, 0.330, 0.899)
In (0.264, 0.434, 0.366)
In (0.330, 0.899, 0.264)
In (0.330, 0.932, 0.066)
In (0.366, 0.264, 0.434)
In (0.366, 0.601, 0.932)
In (0.399, 0.068, 0.634)
In (0.399, 0.830, 0.764)
In (0.432, 0.101, 0.866)
In (0.432, 0.830, 0.566)
In (0.434, 0.366, 0.264)
In (0.434, 0.568, 0.170)
In (0.566, 0.432, 0.830)
In (0.566, 0.634, 0.736)
In (0.568, 0.170, 0.434)
In (0.568, 0.899, 0.134)
In (0.601, 0.170, 0.236)
In (0.601, 0.932, 0.366)
In (0.634, 0.399, 0.068)
In (0.634, 0.736, 0.566)
In (0.670, 0.068, 0.934)
In (0.670, 0.101, 0.736)
In (0.736, 0.566, 0.634)
In (0.736, 0.670, 0.101)
In (0.764, 0.399, 0.830)
In (0.764, 0.866, 0.934)
In (0.830, 0.566, 0.432)
In (0.830, 0.764, 0.399)
In (0.866, 0.432, 0.101)
In (0.866, 0.934, 0.764)
In (0.899, 0.134, 0.568)
In (0.899, 0.264, 0.330)
In (0.932, 0.066, 0.330)
In (0.932, 0.366, 0.601)
In (0.934, 0.670, 0.068)
In (0.934, 0.764, 0.866)
Se (0.000, 0.000, 0.000)
Se (0.000, 0.000, 0.500)
Se (0.000, 0.500, 0.000)
Se (0.000, 0.500, 0.500)
Se (0.125, 0.750, 0.875)
Se (0.125, 0.875, 0.250)
Se (0.250, 0.125, 0.875)
Se (0.250, 0.625, 0.375)
Se (0.375, 0.250, 0.625)
Se (0.375, 0.625, 0.750)
Se (0.500, 0.000, 0.000)
Se (0.500, 0.000, 0.500)
Se (0.500, 0.500, 0.000)
Se (0.500, 0.500, 0.500)
Se (0.625, 0.375, 0.250)
Se (0.625, 0.750, 0.375)
Se (0.750, 0.375, 0.625)
Se (0.750, 0.875, 0.125)
Se (0.875, 0.125, 0.750)
Se (0.875, 0.250, 0.125)

---

Here is a relaxed Na2TbSnSe4 crystal from the Alexandria database. Energies are from PBE.

Calculated values
As for the size of the total moment: 0.0 μB/f.u. For the density of states at the Fermi level, the calculation gives 0.285 states/eV/atom. The calculation puts the raw formation energy at -1.1872 eV per atom. As for the space group: P2/m, No. 10.

Lattice parameters (Å, degrees): 7.237 4.119 7.419 90.00 108.67 90.00
Fractional positions:
Na (0.000, 0.000, 0.000)
Na (0.500, 0.500, 0.000)
Tb (0.000, 0.500, 0.500)
Sn (0.500, 0.000, 0.500)
Se (0.245, 0.000, 0.729)
Se (0.256, 0.500, 0.270)
Se (0.744, 0.500, 0.730)
Se (0.755, 0.000, 0.271)

---

Here is a relaxed Er6TmHg2 crystal from the Alexandria database. Energies are from PBE.

Calculated values
As for the size of the total moment: 0.0 μB/f.u. Its formation energy is -0.204 eV per atom. For the density of states at the Fermi level, the calculation gives 1.070 states/eV/atom. As for the space group: C2/m, No. 12.

Lattice parameters (Å, degrees): 6.488 6.488 11.704 108.15 108.15 33.01
Fractional positions:
Er (0.016, 0.016, 0.337)
Er (0.312, 0.312, 0.123)
Er (0.312, 0.312, 0.415)
Er (0.688, 0.688, 0.585)
Er (0.688, 0.688, 0.877)
Er (0.984, 0.984, 0.663)
Tm (0.000, 0.000, 0.000)
Hg (0.357, 0.357, 0.795)
Hg (0.643, 0.643, 0.205)

---

Here is a relaxed CaTeN2Cl crystal from the Alexandria database. Energies are from PBE.

Calculated values
As for the size of the total moment: 2.5 μB/f.u. For the density of states at the Fermi level, the calculation gives 0.508 states/eV/atom. The calculation puts the raw formation energy at 1.4077 eV per atom. As for the space group: P4/mmm, No. 123. As for the offset from the most stable computed form: 189 meV per atom.

Lattice parameters (Å, degrees): 4.342 4.342 5.437 90.00 90.00 90.00
Fractional positions:
Ca (0.000, 0.000, 0.000)
Te (0.500, 0.500, 0.000)
N (0.000, 0.500, 0.500)
N (0.500, 0.000, 0.500)
Cl (0.500, 0.500, 0.500)

---

Here is a relaxed AlIrCl2 crystal from the Alexandria database. Energies are from PBE.

Calculated values
As for the size of the total moment: 0.2 μB/f.u. For the density of states at the Fermi level, the calculation gives 0.812 states/eV/atom. The calculation puts the raw formation energy at 0.4983 eV per atom. As for the space group: I-4m2, No. 119. As for the offset from the most stable computed form: 1045 meV per atom.

Lattice parameters (Å, degrees): 4.770 4.770 4.770 126.91 126.91 78.39
Fractional positions:
Al (0.000, 0.000, 0.000)
Ir (0.750, 0.250, 0.500)
Cl (0.250, 0.750, 0.500)
Cl (0.500, 0.500, 0.000)

---

Here is a relaxed Y2In2Rh crystal from the Alexandria database. Energies are from PBE.

Calculated values
As for the size of the total moment: 0.0 μB/f.u. Its formation energy is -0.434 eV per atom. For the density of states at the Fermi level, the calculation gives 0.688 states/eV/atom. As for the space group: P4/mbm, No. 127.

Lattice parameters (Å, degrees): 7.330 7.330 4.517 90.00 90.00 90.00
Fractional positions:
Y (0.170, 0.330, 0.000)
Y (0.330, 0.830, 0.000)
Y (0.670, 0.170, 0.000)
Y (0.830, 0.670, 0.000)
In (0.139, 0.639, 0.500)
In (0.361, 0.139, 0.500)
In (0.639, 0.861, 0.500)
In (0.861, 0.361, 0.500)
Rh (0.000, 0.000, 0.500)
Rh (0.500, 0.500, 0.500)

---

Here is a relaxed CoNiSe4 crystal from the Alexandria database. Energies are from PBE.

Calculated values
As for the size of the total moment: 0.0 μB/f.u. For the density of states at the Fermi level, the calculation gives 0.632 states/eV/atom. The calculation puts the raw formation energy at -0.2596 eV per atom. As for the space group: P2_1/c, No. 14. As for the offset from the most stable computed form: 28 meV per atom.

Lattice parameters (Å, degrees): 5.899 5.889 5.885 90.00 90.61 90.00
Fractional positions:
Co (0.000, 0.000, 0.000)
Co (0.000, 0.500, 0.500)
Ni (0.500, 0.000, 0.500)
Ni (0.500, 0.500, 0.000)
Se (0.120, 0.128, 0.629)
Se (0.120, 0.372, 0.129)
Se (0.371, 0.621, 0.621)
Se (0.371, 0.879, 0.121)
Se (0.629, 0.121, 0.879)
Se (0.629, 0.379, 0.379)
Se (0.880, 0.628, 0.871)
Se (0.880, 0.872, 0.371)

---

Here is a relaxed TaTeMo2 crystal from the Alexandria database. Energies are from PBE.

Calculated values
As for the size of the total moment: 0.0 μB/f.u. For the density of states at the Fermi level, the calculation gives 0.710 states/eV/atom. The calculation puts the raw formation energy at 0.2998 eV per atom. As for the space group: Pm, No. 6.

Lattice parameters (Å, degrees): 3.165 4.263 5.346 90.00 93.31 90.00
Fractional positions:
Ta (0.000, 0.000, 0.000)
Te (0.549, 0.500, 0.273)
Mo (0.075, 0.000, 0.527)
Mo (0.536, 0.500, 0.767)

---

Here is a relaxed CsCd4Hg2 crystal from the Alexandria database. Energies are from PBE.

Calculated values
As for the size of the total moment: 0.0 μB/f.u. Its formation energy is -0.081 eV per atom. For the density of states at the Fermi level, the calculation gives 0.360 states/eV/atom. As for the space group: R-3m, No. 166.

Lattice parameters (Å, degrees): 11.208 11.208 11.208 24.95 24.95 24.95
Fractional positions:
Cs (0.000, 0.000, 0.000)
Cd (0.149, 0.149, 0.149)
Cd (0.448, 0.448, 0.448)
Cd (0.552, 0.552, 0.552)
Cd (0.851, 0.851, 0.851)
Hg (0.255, 0.255, 0.255)
Hg (0.745, 0.745, 0.745)

---

Here is a relaxed La6Cd23Ru crystal from the Alexandria database. Energies are from PBE.

Calculated values
As for the size of the total moment: 0.0 μB/f.u. Its formation energy is -0.288 eV per atom. For the density of states at the Fermi level, the calculation gives 0.507 states/eV/atom. As for the space group: Fm-3m, No. 225.

Lattice parameters (Å, degrees): 10.153 10.153 10.153 60.00 60.00 60.00
Fractional positions:
La (0.201, 0.201, 0.799)
La (0.201, 0.799, 0.201)
La (0.201, 0.799, 0.799)
La (0.799, 0.201, 0.201)
La (0.799, 0.201, 0.799)
La (0.799, 0.799, 0.201)
Cd (0.000, 0.000, 0.500)
Cd (0.000, 0.500, 0.000)
Cd (0.000, 0.500, 0.500)
Cd (0.137, 0.621, 0.621)
Cd (0.169, 0.169, 0.169)
Cd (0.169, 0.169, 0.493)
Cd (0.169, 0.493, 0.169)
Cd (0.379, 0.379, 0.379)
Cd (0.379, 0.379, 0.863)
Cd (0.379, 0.863, 0.379)
Cd (0.493, 0.169, 0.169)
Cd (0.500, 0.000, 0.000)
Cd (0.500, 0.000, 0.500)
Cd (0.500, 0.500, 0.000)
Cd (0.500, 0.500, 0.500)
Cd (0.507, 0.831, 0.831)
Cd (0.621, 0.137, 0.621)
Cd (0.621, 0.621, 0.137)
Cd (0.621, 0.621, 0.621)
Cd (0.831, 0.507, 0.831)
Cd (0.831, 0.831, 0.507)
Cd (0.831, 0.831, 0.831)
Cd (0.863, 0.379, 0.379)
Ru (0.000, 0.000, 0.000)

---

Here is a relaxed Hf2TiH4 crystal from the Alexandria database. Energies are from PBE.

Calculated values
As for the size of the total moment: 0.0 μB/f.u. For the density of states at the Fermi level, the calculation gives 0.394 states/eV/atom. As for the space group: C2/m, No. 12. As for the offset from the most stable computed form: 0 meV per atom.

Lattice parameters (Å, degrees): 5.409 5.409 4.844 115.88 115.88 33.22
Fractional positions:
Hf (0.160, 0.160, 0.190)
Hf (0.840, 0.840, 0.810)
Ti (0.500, 0.500, 0.500)
H (0.141, 0.141, 0.587)
H (0.336, 0.336, 0.091)
H (0.664, 0.664, 0.909)
H (0.859, 0.859, 0.413)

---

Here is a relaxed AlTeAsN2 crystal from the Alexandria database. Energies are from PBE.

Calculated values
As for the size of the total moment: 1.2 μB/f.u. For the density of states at the Fermi level, the calculation gives 0.715 states/eV/atom. The calculation puts the raw formation energy at 0.9379 eV per atom. As for the space group: P4/mmm, No. 123. As for the offset from the most stable computed form: 0 meV per atom.

Lattice parameters (Å, degrees): 3.789 3.789 7.022 90.00 90.00 90.00
Fractional positions:
Al (0.000, 0.000, 0.000)
Te (0.000, 0.000, 0.500)
As (0.500, 0.500, 0.500)
N (0.000, 0.500, 0.000)
N (0.500, 0.000, 0.000)